Below is Cd3Hg5Bi12 after structural relaxation, with properties calculated at the PBE level.

Cell: 18.284 18.284 18.284 Å, 90.00 90.00 90.00°
Space group Ia-3d (No. 230)
Unique sites:
Cd: 0.000 0.250 0.125 (multiplicity 24)
Hg: 0.000 0.000 0.000 (multiplicity 16)
Hg: 0.000 0.250 0.375 (multiplicity 24)
Bi: 0.002 0.064 0.161 (multiplicity 96)

Properties
energy of formation = 0.19 eV/atom
DOS(E_F) = 7.7 states/eV/f.u.
total magnetization = 0.00 μB/f.u.